(1)
DFT (PBE) results for crystalline Pu3U4PaP8 at its relaxed geometry.

POSCAR file:
```
Pu3U4PaP8
1.0
6.813 -3.935 0.000
6.813 3.935 0.000
-4.536 0.000 6.556
Pu U Pa P
3 4 1 8
direct
0.000 0.000 0.000 Pu
0.000 0.500 0.000 Pu
0.500 0.000 0.000 Pu
0.000 0.000 0.500 U
0.000 0.500 0.500 U
0.500 0.000 0.500 U
0.500 0.500 0.500 U
0.500 0.500 0.000 Pa
0.249 0.249 0.747 P
0.250 0.747 0.746 P
0.252 0.252 0.255 P
0.253 0.750 0.254 P
0.747 0.250 0.746 P
0.748 0.748 0.745 P
0.750 0.253 0.254 P
0.751 0.751 0.253 P
```

Computed properties:
Energy of formation from the pure elements: -1079 meV/atom
Calculated volume: 22.0 Å³ per atom
Crystal system: monoclinic
Density of states at the Fermi level: 50.49 states/eV per cell
Raw total energy: -9.886 eV/atom
Spin magnetization: 13.1 μB per cell


(2)
DFT (PBE) results for crystalline Pu2UPa3P6 at its relaxed geometry.

POSCAR file:
```
Pu2UPa3P6
1.0
8.641 -1.983 0.000
8.641 1.983 0.000
-1.760 0.000 7.742
Pu U Pa P
2 1 3 6
direct
0.166 0.166 0.334 Pu
0.834 0.834 0.666 Pu
0.500 0.500 0.000 U
0.167 0.167 0.835 Pa
0.500 0.500 0.500 Pa
0.833 0.833 0.165 Pa
0.001 0.001 0.752 P
0.333 0.333 0.415 P
0.334 0.334 0.917 P
0.666 0.666 0.083 P
0.667 0.667 0.585 P
0.999 0.999 0.248 P
```

Computed properties:
Energy of formation from the pure elements: -1226 meV/atom
Calculated volume: 22.1 Å³ per atom
Crystal system: monoclinic
Density of states at the Fermi level: 23.77 states/eV per cell
Raw total energy: -9.634 eV/atom
Spin magnetization: 8.3 μB per cell


(3)
DFT (PBE) results for crystalline YPu2PaP4 at its relaxed geometry.

POSCAR file:
```
YPu2PaP4
1.0
6.895 0.000 0.000
0.000 4.007 0.000
-2.322 0.000 6.524
Y Pu Pa P
1 2 1 4
direct
0.000 0.000 0.000 Y
0.500 0.000 0.500 Pu
0.500 0.500 0.000 Pu
0.000 0.500 0.500 Pa
0.248 0.000 0.747 P
0.251 0.500 0.255 P
0.749 0.500 0.745 P
0.752 0.000 0.253 P
```

Computed properties:
Energy of formation from the pure elements: -1333 meV/atom
Calculated volume: 22.5 Å³ per atom
Crystal system: monoclinic
Density of states at the Fermi level: 17.71 states/eV per cell
Raw total energy: -9.616 eV/atom
Spin magnetization: 10.9 μB per cell


(4)
DFT (PBE) results for crystalline YPuPa2P4 at its relaxed geometry.

POSCAR file:
```
YPuPa2P4
1.0
-2.815 2.815 5.638
2.815 -2.815 5.638
2.815 2.815 -5.638
Y Pu Pa P
1 1 2 4
direct
0.000 0.000 0.000 Y
0.250 0.750 0.500 Pu
0.500 0.500 0.000 Pa
0.750 0.250 0.500 Pa
0.252 0.252 0.000 P
0.502 0.002 0.500 P
0.748 0.748 0.000 P
0.998 0.498 0.500 P
```

Computed properties:
Energy of formation from the pure elements: -1362 meV/atom
Calculated volume: 22.3 Å³ per atom
Crystal system: tetragonal
Density of states at the Fermi level: 13.26 states/eV per cell
Raw total energy: -9.040 eV/atom
Spin magnetization: 5.4 μB per cell


(5)
DFT (PBE) results for crystalline Pu3ZrPa2P6 at its relaxed geometry.

POSCAR file:
```
Pu3ZrPa2P6
1.0
3.417 -5.919 0.000
3.417 5.919 0.000
-2.279 0.000 6.442
Pu Zr Pa P
3 1 2 6
direct
0.000 0.000 0.000 Pu
0.332 0.668 0.000 Pu
0.668 0.332 0.000 Pu
0.500 0.500 0.500 Zr
0.166 0.834 0.500 Pa
0.834 0.166 0.500 Pa
0.092 0.419 0.257 P
0.255 0.255 0.746 P
0.419 0.092 0.257 P
0.581 0.908 0.743 P
0.745 0.745 0.254 P
0.908 0.581 0.743 P
```

Computed properties:
Energy of formation from the pure elements: -1278 meV/atom
Calculated volume: 21.7 Å³ per atom
Crystal system: monoclinic
Density of states at the Fermi level: 26.00 states/eV per cell
Raw total energy: -9.861 eV/atom
Spin magnetization: 16.2 μB per cell


(6)
DFT (PBE) results for crystalline Pu4ZrPa3P8 at its relaxed geometry.

POSCAR file:
```
Pu4ZrPa3P8
1.0
6.833 -3.963 0.000
6.833 3.963 0.000
-4.530 0.000 6.453
Pu Zr Pa P
4 1 3 8
direct
0.000 0.000 0.000 Pu
0.000 0.500 0.500 Pu
0.500 0.000 0.500 Pu
0.500 0.500 0.000 Pu
0.000 0.000 0.500 Zr
0.000 0.500 0.000 Pa
0.500 0.000 0.000 Pa
0.500 0.500 0.500 Pa
0.244 0.755 0.256 P
0.245 0.245 0.745 P
0.245 0.756 0.744 P
0.251 0.251 0.250 P
0.749 0.749 0.750 P
0.755 0.244 0.256 P
0.755 0.755 0.255 P
0.756 0.245 0.744 P
```

Computed properties:
Energy of formation from the pure elements: -1270 meV/atom
Calculated volume: 21.8 Å³ per atom
Crystal system: monoclinic
Density of states at the Fermi level: 38.79 states/eV per cell
Raw total energy: -9.873 eV/atom
Spin magnetization: 10.7 μB per cell


(7)
DFT (PBE) results for crystalline PuZr3Pa2P6 at its relaxed geometry.

POSCAR file:
```
PuZr3Pa2P6
1.0
3.348 -5.807 0.000
3.348 5.807 0.000
-2.231 0.000 6.259
Pu Zr Pa P
1 3 2 6
direct
0.000 0.000 0.000 Pu
0.164 0.836 0.500 Zr
0.500 0.500 0.500 Zr
0.836 0.164 0.500 Zr
0.334 0.666 0.000 Pa
0.666 0.334 0.000 Pa
0.088 0.422 0.263 P
0.246 0.246 0.738 P
0.422 0.088 0.263 P
0.578 0.912 0.737 P
0.754 0.754 0.262 P
0.912 0.578 0.737 P
```

Computed properties:
Energy of formation from the pure elements: -1359 meV/atom
Calculated volume: 20.3 Å³ per atom
Crystal system: monoclinic
Density of states at the Fermi level: 14.57 states/eV per cell
Raw total energy: -8.978 eV/atom
Spin magnetization: 5.3 μB per cell


(8)
DFT (PBE) results for crystalline PuZrPa2P4 at its relaxed geometry.

POSCAR file:
```
PuZrPa2P4
1.0
6.748 0.000 0.000
0.000 3.931 0.000
-2.276 0.000 6.395
Pu Zr Pa P
1 1 2 4
direct
0.000 0.000 0.000 Pu
0.000 0.500 0.500 Zr
0.500 0.000 0.500 Pa
0.500 0.500 0.000 Pa
0.242 0.000 0.742 P
0.245 0.500 0.254 P
0.755 0.500 0.746 P
0.758 0.000 0.258 P
```

Computed properties:
Energy of formation from the pure elements: -1314 meV/atom
Calculated volume: 21.2 Å³ per atom
Crystal system: monoclinic
Density of states at the Fermi level: 10.50 states/eV per cell
Raw total energy: -9.253 eV/atom
Spin magnetization: 5.2 μB per cell


(9)
DFT (PBE) results for crystalline PuZr2Pa3P6 at its relaxed geometry.

POSCAR file:
```
PuZr2Pa3P6
1.0
3.386 -5.871 0.000
3.386 5.871 0.000
-2.262 0.000 6.298
Pu Zr Pa P
1 2 3 6
direct
0.000 0.000 0.000 Pu
0.333 0.667 0.000 Zr
0.667 0.333 0.000 Zr
0.165 0.835 0.500 Pa
0.500 0.500 0.500 Pa
0.835 0.165 0.500 Pa
0.081 0.421 0.242 P
0.261 0.261 0.761 P
0.421 0.081 0.242 P
0.579 0.919 0.758 P
0.739 0.739 0.239 P
0.919 0.579 0.758 P
```

Computed properties:
Energy of formation from the pure elements: -1337 meV/atom
Calculated volume: 20.9 Å³ per atom
Crystal system: monoclinic
Density of states at the Fermi level: 14.16 states/eV per cell
Raw total energy: -9.035 eV/atom
Spin magnetization: 5.5 μB per cell


(10)
DFT (PBE) results for crystalline RbPaP2 at its relaxed geometry.

POSCAR file:
```
RbPaP2
1.0
2.098 1.212 7.750
-2.098 1.212 7.750
0.000 -2.423 7.750
Rb Pa P
1 1 2
direct
0.000 0.000 0.000 Rb
0.500 0.500 0.500 Pa
0.225 0.225 0.225 P
0.775 0.775 0.775 P
```

Computed properties:
Energy of formation from the pure elements: -851 meV/atom
Calculated volume: 29.6 Å³ per atom
Crystal system: trigonal
Energy above the lowest structure with this stoichiometry: 0.0 meV/atom
Raw total energy: -6.172 eV/atom
Spin magnetization: 0.0 μB per cell


(11)
DFT (PBE) results for crystalline RbPaP2 at its relaxed geometry.

POSCAR file:
```
RbPaP2
1.0
2.092 1.208 7.866
-2.092 1.208 7.866
0.000 -2.416 7.866
Rb Pa P
1 1 2
direct
0.000 0.000 0.000 Rb
0.170 0.170 0.170 Pa
0.561 0.561 0.561 P
0.779 0.779 0.779 P
```

Computed properties:
Energy of formation from the pure elements: -826 meV/atom
Calculated volume: 29.8 Å³ per atom
Crystal system: trigonal
Energy above the lowest structure with this stoichiometry: 25.5 meV/atom
Raw total energy: -6.146 eV/atom
Spin magnetization: 0.0 μB per cell


(12)
DFT (PBE) results for crystalline RbPaP2Se8 at its relaxed geometry.

POSCAR file:
```
RbPaP2Se8
1.0
3.269 1.887 10.278
-3.269 1.887 10.278
0.000 -3.774 10.278
Rb Pa P Se
1 1 2 8
direct
0.000 0.000 0.000 Rb
0.500 0.500 0.500 Pa
0.243 0.243 0.243 P
0.757 0.757 0.757 P
0.099 0.441 0.804 Se
0.196 0.901 0.559 Se
0.312 0.312 0.312 Se
0.441 0.804 0.099 Se
0.559 0.196 0.901 Se
0.688 0.688 0.688 Se
0.804 0.099 0.441 Se
0.901 0.559 0.196 Se
```

Computed properties:
Calculated volume: 31.7 Å³ per atom
Crystal system: trigonal
Raw total energy: -4.615 eV/atom
Spin magnetization: 0.0 μB per cell
Uncorrected formation energy: -0.5186 eV per atom


Copy entry 5 word for word.
DFT (PBE) results for crystalline Pu3ZrPa2P6 at its relaxed geometry.

POSCAR file:
```
Pu3ZrPa2P6
1.0
3.417 -5.919 0.000
3.417 5.919 0.000
-2.279 0.000 6.442
Pu Zr Pa P
3 1 2 6
direct
0.000 0.000 0.000 Pu
0.332 0.668 0.000 Pu
0.668 0.332 0.000 Pu
0.500 0.500 0.500 Zr
0.166 0.834 0.500 Pa
0.834 0.166 0.500 Pa
0.092 0.419 0.257 P
0.255 0.255 0.746 P
0.419 0.092 0.257 P
0.581 0.908 0.743 P
0.745 0.745 0.254 P
0.908 0.581 0.743 P
```

Computed properties:
Energy of formation from the pure elements: -1278 meV/atom
Calculated volume: 21.7 Å³ per atom
Crystal system: monoclinic
Density of states at the Fermi level: 26.00 states/eV per cell
Raw total energy: -9.861 eV/atom
Spin magnetization: 16.2 μB per cell